First-principles (PBE) data for a relaxed structure of MnTlAg2S4, as listed in the Alexandria database.

abc: 6.2302 6.2302 9.8566
angles: 90.00 90.00 90.00
Closest atoms and distances in Å follow each position.
Fractional positions:
Mn 0.0000 0.0000 0.0000  4 S 2.14
Mn 0.5000 0.5000 0.5000  4 S 2.14
Tl 0.0000 0.0000 0.5000  4 S 2.96
Tl 0.5000 0.5000 0.0000  4 S 2.96
Ag 0.0000 0.5000 0.2500  4 S 2.55
Ag 0.0000 0.5000 0.7500  4 S 2.55
Ag 0.5000 0.0000 0.2500  4 S 2.55
Ag 0.5000 0.0000 0.7500  4 S 2.55
S 0.1958 0.1958 0.8716  1 Mn 2.14
S 0.1958 0.8042 0.1284  1 Mn 2.14
S 0.3042 0.3042 0.3716  1 Mn 2.14
S 0.3042 0.6958 0.6284  1 Mn 2.14
S 0.6958 0.3042 0.6284  1 Mn 2.14
S 0.6958 0.6958 0.3716  1 Mn 2.14
S 0.8042 0.1958 0.1284  1 Mn 2.14
S 0.8042 0.8042 0.8716  1 Mn 2.14

Calculated values
Mass density ... 5237 kg/m3
Space-group type ... I-42m (121)
Formation energy (no corrections) ... -0.238 eV/atom



First-principles (PBE) data for a relaxed structure of UMnAgS4, as listed in the Alexandria database.

abc: 7.4929 7.4929 7.4929
angles: 119.03 114.33 95.90
Closest atoms and distances in Å follow each position.
Fractional positions:
U 0.0000 0.0000 0.0000  6 S 2.61-2.68
U 0.5000 0.0000 0.5000  6 S 2.61-2.68
Mn 0.5000 0.0000 0.0000  6 S 2.51-2.53
Mn 0.5000 0.5000 0.5000  6 S 2.51-2.53
Ag 0.0816 0.3316 0.7500  4 S 2.50-2.65
Ag 0.9184 0.6684 0.2500  4 S 2.50-2.65
S 0.2500 0.2309 0.4810  1 Mn 2.51, 1 Ag 2.65, 2 U 2.68
S 0.2500 0.7690 0.0190  1 Mn 2.51, 1 Ag 2.65, 2 U 2.68
S 0.2870 0.7429 0.5441  1 Ag 2.50, 2 Mn 2.53, 1 U 2.61
S 0.3012 0.2571 0.0441  1 Ag 2.50, 2 Mn 2.53, 1 U 2.61
S 0.6988 0.7429 0.9559  1 Ag 2.50, 2 Mn 2.53, 1 U 2.61
S 0.7130 0.2571 0.4559  1 Ag 2.50, 2 Mn 2.53, 1 U 2.61
S 0.7500 0.2310 0.9810  1 Mn 2.51, 1 Ag 2.65, 2 U 2.68
S 0.7500 0.7691 0.5190  1 Mn 2.51, 1 Ag 2.65, 2 U 2.68

Calculated values
Mass density ... 5668 kg/m3
Space-group type ... Imma (74)
Formation energy (no corrections) ... -0.828 eV/atom



First-principles (PBE) data for a relaxed structure of Mn3VAg3S8, as listed in the Alexandria database.

abc: 7.0225 7.0225 7.6495
angles: 117.82 117.82 59.90
Closest atoms and distances in Å follow each position.
Fractional positions:
Mn 0.0000 0.0000 0.0000  6 S 2.43-2.46
Mn 0.0000 0.5000 0.0000  6 S 2.43-2.44
Mn 0.5000 0.0000 0.0000  6 S 2.43-2.44
V 0.5000 0.5000 0.0000  6 S 2.42
Ag 0.0000 0.5000 0.5000  6 S 2.74-2.77
Ag 0.5000 0.0000 0.5000  6 S 2.74-2.77
Ag 0.5000 0.5000 0.5000  6 S 2.71-2.78
S 0.2392 0.7368 0.2080  1 V 2.42, 2 Mn 2.43-2.44
S 0.2398 0.2398 0.2135  3 Mn 2.44-2.46, 1 Ag 2.71
S 0.2632 0.7608 0.7920  1 V 2.42, 2 Mn 2.43-2.44
S 0.2642 0.2642 0.7927  1 V 2.42, 2 Mn 2.43
S 0.7358 0.7358 0.2073  1 V 2.42, 2 Mn 2.43
S 0.7368 0.2392 0.2080  1 V 2.42, 2 Mn 2.43-2.44
S 0.7602 0.7602 0.7865  3 Mn 2.44-2.46, 1 Ag 2.71
S 0.7608 0.2632 0.7920  1 V 2.42, 2 Mn 2.43-2.44

Calculated values
Mass density ... 4806 kg/m3
Space-group type ... C2/m (12)
Formation energy (no corrections) ... -0.426 eV/atom



For the records above, the corresponding final energy values read -4.457, -6.516, -5.639 eV per atom.
For the records above, the corresponding spin magnetization values read 2.0, 6.0, 13.0 μB/f.u..